Tl2TeW: optimized geometry, PBE.

Cell: 8.062 8.062 8.062 Å, 157.09 147.59 40.06°
Fractional positions:
Te: 0.250 0.750 0.500
Tl: 0.932 0.932 0.000
Tl: 0.568 0.568 0.000
W: 0.750 0.250 0.500

Summary:
total magnetization	0.0	μB/f.u.
ρ	10.96	g/cm3
energy above the most stable polymorph in this dataset	23.1	kJ per mole of atoms
raw formation energy	0.627	eV per atom